(1)
First-principles (PBE-GGA) data for a relaxed structure of SrP2Pd2, as listed in OQMD.

abc: 4.0736 4.0736 6.9879
angles: 90.00 90.00 120.00
Last column: nearest neighbours and their distance in Å.
Fractional positions:
Pd 0.3333 0.6667 0.6275  4 P 2.39-2.43
Sr 0.0000 0.0000 0.0000  6 P 3.08
P 0.3333 0.6667 0.2856  4 Pd 2.39-2.43
Pd 0.6667 0.3333 0.3725  4 P 2.39-2.43
P 0.6667 0.3333 0.7144  4 Pd 2.39-2.43

Properties
SG	No. 164
E	-0.19500	Ha/atom

---

(2)
First-principles (PBE-GGA) data for a relaxed structure of HgAu, as listed in OQMD.

abc: 3.1043 3.1042 4.8191
angles: 90.00 90.00 120.00
Last column: nearest neighbours and their distance in Å.
Fractional positions:
Au 0.6667 0.3333 0.7500  6 Hg 3.00, 6 Au 3.10
Hg 0.3333 0.6667 0.2500  6 Au 3.00, 6 Hg 3.10

Properties
SG	No. 187
ΔE_f	0.103	eV per atom
E	-0.06172	Ha/atom

---

(3)
First-principles (PBE-GGA) data for a relaxed structure of SmHoGa, as listed in OQMD.

abc: 5.0150 5.0150 5.0150
angles: 60.00 60.00 60.00
Last column: nearest neighbours and their distance in Å.
Fractional positions:
Ga 0.0000 0.0000 0.0000  4 Ho 3.07, 4 Sm 3.07
Ho 0.2500 0.2500 0.2500  4 Ga 3.07
Sm 0.7500 0.7500 0.7500  4 Ga 3.07

Properties
SG	No. 216
E	-0.15981	Ha/atom
polymorph energy (0 for the lowest one)	0.0	meV per atom

---

(4)
First-principles (PBE-GGA) data for a relaxed structure of GaCu, as listed in OQMD.

abc: 5.0605 5.0605 4.1802
angles: 90.00 90.00 120.00
Last column: nearest neighbours and their distance in Å.
Fractional positions:
Cu 0.5000 0.5000 0.0000  4 Cu 2.53, 6 Ga 2.53-2.55
Cu 0.5000 0.0000 0.0000  4 Cu 2.53, 6 Ga 2.53-2.55
Cu 0.0000 0.5000 0.0000  6 Ga 2.53-2.55, 4 Cu 2.53
Ga 0.3333 0.6667 0.5000  6 Cu 2.55
Ga 0.6667 0.3333 0.5000  6 Cu 2.55
Ga 0.0000 0.0000 0.0000  6 Cu 2.53

Properties
SG	No. 191
E	-0.12704	Ha/atom

---

(5)
First-principles (PBE-GGA) data for a relaxed structure of BaBeNbIr, as listed in OQMD.

abc: 4.8972 4.8972 4.8972
angles: 60.00 60.00 60.00
Last column: nearest neighbours and their distance in Å.
Fractional positions:
Ba 0.0000 0.0000 0.0000  4 Be 3.00, 4 Ir 3.00
Ir 0.2500 0.2500 0.2500  4 Ba 3.00, 4 Nb 3.00
Be 0.7500 0.7500 0.7500  4 Ba 3.00, 4 Nb 3.00
Nb 0.5000 0.5000 0.5000  4 Be 3.00, 4 Ir 3.00

Properties
SG	No. 216
E	-0.19463	Ha/atom
polymorph energy (0 for the lowest one)	208.3	meV per atom

---

(6)
First-principles (PBE-GGA) data for a relaxed structure of La2Sm2CBr3Cl2, as listed in OQMD.

abc: 9.3585 9.3585 8.6142
angles: 103.92 103.92 24.48
Last column: nearest neighbours and their distance in Å.
Fractional positions:
Br 0.1729 0.1729 0.8442  3 Sm 2.98-3.31, 1 La 3.09
Sm 0.6403 0.6403 0.0769  1 C 2.49
C 0.5000 0.5000 0.0000  2 Sm 2.49, 4 La 2.67
Sm 0.3597 0.3597 0.9231  1 C 2.49
Br 0.8271 0.8271 0.1558  3 Sm 2.98-3.31, 1 La 3.09
Cl 0.8354 0.8354 0.6867  2 Sm 2.80, 1 La 2.91
Cl 0.1646 0.1646 0.3133  2 Sm 2.80, 1 La 2.91
Br 0.5000 0.5000 0.5000  4 La 3.20
La 0.0005 0.0005 0.2083  2 C 2.67, 1 Cl 2.91
La 0.9995 0.9995 0.7917  2 C 2.67, 1 Cl 2.91

Properties
SG	No. 12
E	-0.19424	Ha/atom
polymorph energy (0 for the lowest one)	5.7	meV per atom

---

(7)
First-principles (PBE-GGA) data for a relaxed structure of Nd4BI3Cl2, as listed in OQMD.

abc: 9.7492 9.7492 8.8427
angles: 100.59 100.59 24.49
Last column: nearest neighbours and their distance in Å.
Fractional positions:
Nd 0.0015 0.0015 0.7978  2 B 2.74, 1 Cl 2.87
Nd 0.9985 0.9985 0.2023  2 B 2.74, 1 Cl 2.87
I 0.5000 0.5000 0.5000  4 Nd 3.34
B 0.5000 0.5000 0.0000  6 Nd 2.62-2.74
Cl 0.8488 0.8488 0.7041  3 Nd 2.84-2.87
I 0.1746 0.1746 0.8165  4 Nd 3.23-3.49
Cl 0.1512 0.1512 0.2959  3 Nd 2.84-2.87
Nd 0.6398 0.6398 0.0728  1 B 2.62, 2 Cl 2.84
Nd 0.3602 0.3602 0.9272  1 B 2.62, 2 Cl 2.84
I 0.8254 0.8254 0.1835  4 Nd 3.23-3.49

Properties
SG	No. 12
E	-0.17414	Ha/atom

---

(8)
First-principles (PBE-GGA) data for a relaxed structure of PtPbS4, as listed in OQMD.

abc: 6.4618 3.6864 7.0116
angles: 90.00 107.41 90.00
Last column: nearest neighbours and their distance in Å.
Fractional positions:
Pt 0.5000 0.5000 0.0000  6 S 2.40-2.42
S 0.1332 0.5000 0.7847  1 Pt 2.40, 2 Pb 2.68
S 0.4280 0.0000 0.1946  2 Pt 2.42, 1 Pb 2.69
Pb 0.0000 0.0000 0.0000  6 S 2.68-2.69
S 0.5720 0.0000 0.8054  2 Pt 2.42, 1 Pb 2.69
S 0.8668 0.5000 0.2153  1 Pt 2.40, 2 Pb 2.68

Properties
SG	No. 10
E	-0.16746	Ha/atom